AcZnPtPb: relaxed, PBE.

a b c (Å): 7.329 7.329 7.329
angles (deg): 90.00 90.00 90.00
Fractional coordinates of all 16 atoms:
Ac 0.000 0.000 0.000
Ac 0.000 0.500 0.500
Ac 0.500 0.000 0.500
Ac 0.500 0.500 0.000
Zn 0.250 0.250 0.750
Zn 0.250 0.750 0.250
Zn 0.750 0.250 0.250
Zn 0.750 0.750 0.750
Pt 0.250 0.250 0.250
Pt 0.250 0.750 0.750
Pt 0.750 0.250 0.750
Pt 0.750 0.750 0.250
Pb 0.000 0.000 0.500
Pb 0.000 0.500 0.000
Pb 0.500 0.000 0.000
Pb 0.500 0.500 0.500

Summary:
**Energy of formation from the pure elements**: -0.49 eV per atom
**SG**: F-43m, No. 216

=====

Dy7AuI12: relaxed, PBE.

a b c (Å): 9.749 9.749 9.749
angles (deg): 107.79 107.79 107.79
Fractional coordinates of all 20 atoms:
Dy 0.000 0.000 0.000
Dy 0.184 0.461 0.390
Dy 0.390 0.184 0.461
Dy 0.461 0.390 0.184
Dy 0.539 0.610 0.816
Dy 0.610 0.816 0.539
Dy 0.816 0.539 0.610
Au 0.500 0.500 0.500
I 0.025 0.106 0.343
I 0.106 0.343 0.025
I 0.183 0.576 0.725
I 0.275 0.817 0.424
I 0.343 0.025 0.106
I 0.424 0.275 0.817
I 0.576 0.725 0.183
I 0.657 0.975 0.894
I 0.725 0.183 0.576
I 0.817 0.424 0.275
I 0.894 0.657 0.975
I 0.975 0.894 0.657

Summary:
**Formation energy without anion corrections**: -1.195 eV/atom
**SG**: R-3, No. 148

=====

Nd2CuGe3: relaxed, PBE.

a b c (Å): 4.237 4.276 7.210
angles (deg): 90.00 90.00 90.00
Fractional coordinates of all 6 atoms:
Nd 0.000 0.000 0.000
Nd 0.000 0.500 0.491
Cu 0.500 0.500 0.819
Ge 0.500 0.000 0.333
Ge 0.500 0.000 0.679
Ge 0.500 0.500 0.147

Summary:
**Energy of formation from the pure elements**: -0.68 eV per atom
**SG**: Pmm2, No. 25
**Distance to the lowest polymorph of the same formula**: 29 meV per atom

=====

PrDy6Th12: relaxed, PBE.

a b c (Å): 8.738 8.738 8.738
angles (deg): 99.46 99.46 99.46
Fractional coordinates of all 19 atoms:
Pr 0.000 0.000 0.000
Dy 0.100 0.100 0.659
Dy 0.100 0.659 0.100
Dy 0.341 0.900 0.900
Dy 0.659 0.100 0.100
Dy 0.900 0.341 0.900
Dy 0.900 0.900 0.341
Th 0.084 0.351 0.351
Th 0.247 0.500 0.753
Th 0.247 0.753 0.500
Th 0.351 0.084 0.351
Th 0.351 0.351 0.084
Th 0.500 0.247 0.753
Th 0.500 0.753 0.247
Th 0.649 0.649 0.916
Th 0.649 0.916 0.649
Th 0.753 0.247 0.500
Th 0.753 0.500 0.247
Th 0.916 0.649 0.649

Summary:
**Energy of formation from the pure elements**: 0.25 eV per atom
**SG**: R-3m, No. 166

=====

Tm3In: relaxed, PBE.

a b c (Å): 4.677 4.677 10.020
angles (deg): 90.00 90.00 90.00
Fractional coordinates of all 8 atoms:
Tm 0.000 0.000 0.000
Tm 0.000 0.500 0.250
Tm 0.000 0.500 0.750
Tm 0.500 0.000 0.250
Tm 0.500 0.000 0.750
Tm 0.500 0.500 0.500
In 0.000 0.000 0.500
In 0.500 0.500 0.000

Summary:
**Energy of formation from the pure elements**: -0.22 eV per atom
**SG**: I4/mmm, No. 139

=====

SbI2Cl: relaxed, PBE.

a b c (Å): 7.699 7.699 7.699
angles (deg): 90.00 90.00 90.00
Fractional coordinates of all 16 atoms:
Sb 0.000 0.000 0.000
Sb 0.000 0.500 0.500
Sb 0.500 0.000 0.500
Sb 0.500 0.500 0.000
I 0.250 0.250 0.250
I 0.250 0.250 0.750
I 0.250 0.750 0.250
I 0.250 0.750 0.750
I 0.750 0.250 0.250
I 0.750 0.250 0.750
I 0.750 0.750 0.250
I 0.750 0.750 0.750
Cl 0.000 0.000 0.500
Cl 0.000 0.500 0.000
Cl 0.500 0.000 0.000
Cl 0.500 0.500 0.500

Summary:
**Formation energy without anion corrections**: 0.005 eV/atom
**SG**: Fm-3m, No. 225
**Distance to the lowest polymorph of the same formula**: 497 meV per atom

=====

BaVI2N: relaxed, PBE.

a b c (Å): 6.648 6.648 4.434
angles (deg): 90.00 90.00 90.00
Fractional coordinates of all 5 atoms:
Ba 0.000 0.000 0.000
V 0.500 0.500 0.500
I 0.000 0.500 0.000
I 0.500 0.000 0.000
N 0.000 0.000 0.500

Summary:
**Formation energy without anion corrections**: 1.104 eV/atom
**SG**: P4/mmm, No. 123
**Distance to the lowest polymorph of the same formula**: 1718 meV per atom

=====

Rb3HgAu2I6: relaxed, PBE.

a b c (Å): 9.112 9.112 9.249
angles (deg): 90.00 90.00 120.00
Fractional coordinates of all 12 atoms:
Rb 0.000 0.000 0.000
Rb 0.333 0.667 0.633
Rb 0.667 0.333 0.367
Hg 0.000 0.000 0.500
Au 0.333 0.667 0.255
Au 0.667 0.333 0.745
I 0.162 0.325 0.287
I 0.162 0.838 0.287
I 0.325 0.162 0.713
I 0.675 0.838 0.287
I 0.838 0.162 0.713
I 0.838 0.675 0.713

Summary:
**Formation energy without anion corrections**: -0.679 eV/atom
**SG**: P-3m1, No. 164

=====

Spin magnetization
In order: 0.000 0.000 0.000 0.000 0.000 0.000 0.041 0.000
Unit: μB per atom
Fermi-level density of states
In order: 8.3 8.5 3.4 30.4 9.2 0.0 17.3 2.9
Unit: states/eV/cell